(1)
The following is a DFT calculation (GGA-PBE) of crystalline BeFeGe at its relaxed geometry.

Values from the calculation:
- SG: F-43m (216)
- Relative energy among the computed polymorphs: 0.00 eV per formula unit

Cell lengths 3.800, 3.800, 3.800 Å; angles 60.00, 60.00, 60.00 degrees
Fractional positions:
Ge 0.750 0.750 0.750
Be 0.250 0.250 0.250
Fe 0.000 0.000 0.000

***

(2)
The following is a DFT calculation (GGA-PBE) of crystalline Lu3Ni7B2 at its relaxed geometry.

Values from the calculation:
- SG: P6_3/mmc (194)

Cell lengths 5.024, 5.024, 14.244 Å; angles 90.00, 90.00, 120.00 degrees
Fractional positions:
Ni 0.668 0.834 0.148
Ni 0.332 0.166 0.852
Ni 0.166 0.332 0.148
Ni 0.000 0.000 0.000
Ni 0.834 0.668 0.648
Ni 0.166 0.332 0.352
Ni 0.834 0.668 0.852
Ni 0.332 0.166 0.648
Ni 0.166 0.834 0.352
Ni 0.166 0.834 0.148
Ni 0.834 0.166 0.648
Ni 0.668 0.834 0.352
Ni 0.000 0.000 0.500
Ni 0.834 0.166 0.852
Lu 0.667 0.333 0.468
Lu 0.667 0.333 0.250
Lu 0.333 0.667 0.968
Lu 0.333 0.667 0.750
Lu 0.333 0.667 0.532
Lu 0.667 0.333 0.032
B 0.000 0.000 0.250
B 0.000 0.000 0.750
B 0.333 0.667 0.250
B 0.667 0.333 0.750

***

| no. | volume (Å³/atom) | total DFT energy (no corrections) (eV per atom) |
| --- | --- | --- |
| 1 | 12.9 | -5.360 |
| 2 | 13.0 | -6.050 |